Ca2CuAs PBE-GGA optimized geometry; E = -3.676 eV/atom; density of states at the Fermi level = 0.96 states/eV per cell
1.0
4.239 0.000 0.000
0.000 4.287 0.000
0.000 0.000 5.903
Ca Cu As
2 1 1
Direct
0.000 0.000 0.876 Ca
0.500 0.500 0.373 Ca
0.000 0.000 0.377 Cu
0.500 0.500 0.873 As

Rb10Au4Se PBE-GGA optimized geometry; E = -2.095 eV/atom; density of states at the Fermi level = 10.24 states/eV per cell; ΔE_f (raw) = -498 kJ/mol of formula units
1.0
-2.811 4.615 -2.289
-4.175 -0.817 -4.042
-19.159 -0.212 15.573
Au Rb Se
4 10 1
Direct
0.800 0.800 0.600 Au
0.200 0.200 0.400 Au
0.603 0.603 0.192 Au
0.397 0.397 0.808 Au
0.150 0.150 0.550 Rb
0.750 0.750 0.750 Rb
0.047 0.047 0.858 Rb
0.652 0.652 0.043 Rb
0.348 0.348 0.957 Rb
0.551 0.551 0.348 Rb
0.850 0.850 0.450 Rb
0.953 0.953 0.142 Rb
0.250 0.250 0.250 Rb
0.449 0.449 0.652 Rb
0.000 0.000 0.000 Se

Zr3Ga4Fe2 PBE-GGA optimized geometry; E = -6.497 eV/atom; density of states at the Fermi level = 6.29 states/eV per cell
1.0
-2.511 1.664 2.847
-2.423 -0.527 -4.847
-0.176 -6.862 3.856
Fe Ga Zr
2 4 3
Direct
0.682 0.363 0.358 Fe
0.318 0.637 0.642 Fe
0.289 0.578 0.932 Ga
0.075 0.150 0.390 Ga
0.925 0.850 0.610 Ga
0.711 0.422 0.068 Ga
0.645 0.290 0.680 Zr
0.355 0.710 0.320 Zr
0.000 0.000 0.000 Zr

Pm4PrY2Sc PBE-GGA optimized geometry; E = -5.352 eV/atom; density of states at the Fermi level = 11.54 states/eV per cell
1.0
5.085 0.000 0.000
0.000 11.216 -1.636
0.000 2.899 4.161
Pm Y Sc Pr
4 2 1 1
Direct
0.000 0.747 0.753 Pm
0.500 0.253 0.747 Pm
0.000 0.253 0.247 Pm
0.500 0.747 0.253 Pm
0.000 0.000 0.000 Y
0.500 0.000 0.500 Y
0.000 0.500 0.500 Sc
0.500 0.500 0.000 Pr

Be2ZnSe PBE-GGA optimized geometry; E = -2.635 eV/atom; density of states at the Fermi level = 0.98 states/eV per cell; energy above the lowest structure with this stoichiometry = 1.35 eV/f.u.; ΔE_f (raw) = 161 kJ/mol of formula units
1.0
-2.661 -2.972 -3.046
2.367 -3.130 3.129
-2.131 -2.470 1.671
Be Zn Se
2 1 1
Direct
0.500 0.500 0.000 Be
0.000 0.000 0.000 Be
0.000 0.500 0.500 Zn
0.500 0.000 0.500 Se

Li2InAg4 PBE-GGA optimized geometry; E = -2.669 eV/atom; density of states at the Fermi level = 3.68 states/eV per cell; energy above the lowest structure with this stoichiometry = 0.00 eV/f.u.
1.0
10.029 -0.001 -0.012
-0.001 4.998 -1.988
0.006 -0.216 5.340
Ag In Li
8 2 4
Direct
0.318 0.380 0.574 Ag
0.291 0.886 0.093 Ag
0.818 0.120 0.426 Ag
0.209 0.386 0.093 Ag
0.791 0.614 0.907 Ag
0.682 0.620 0.426 Ag
0.182 0.880 0.574 Ag
0.709 0.114 0.907 Ag
0.000 0.000 0.000 In
0.500 0.500 0.000 In
0.550 0.117 0.327 Li
0.950 0.617 0.327 Li
0.450 0.883 0.673 Li
0.050 0.383 0.673 Li